Entry 1:
VASP calculation (PBEsol) on crystalline Cd4InHg at its relaxed geometry.

Cell: 8.178 8.178 8.178 Å, 90.00 90.00 90.00°
Space group F-43m (No. 216)
One atom of each set of equivalent atoms:
Cd (0.125, 0.125, 0.125) (multiplicity 16)
In (0.250, 0.250, 0.750) (multiplicity 4)
Hg (0.000, 0.000, 0.500) (multiplicity 4)

## Properties
Density of states at the Fermi level   2.75 states/eV/f.u.
Energy relative to the elements   0.0744 eV/atom
Total moment   0.001 μB per cell

Entry 2:
VASP calculation (PBEsol) on crystalline CdIn2Hg at its relaxed geometry.

Cell: 6.347 9.819 3.199 Å, 90.00 105.98 90.00°
Space group C2/m (No. 12)
One atom of each set of equivalent atoms:
Cd (0.000, 0.000, 0.000) (multiplicity 2)
In (0.250, 0.250, 0.500) (multiplicity 4)
Hg (0.000, 0.500, 0.000) (multiplicity 2)

## Properties
Density of states at the Fermi level   1.63 states/eV/f.u.
Energy relative to the elements   0.0283 eV/atom
Total moment   0.000 μB per cell
ΔE to the lowest computed polymorph   20 meV per atom

Entry 3:
VASP calculation (PBEsol) on crystalline CdIn2Hg at its relaxed geometry.

Cell: 3.333 4.505 6.263 Å, 90.00 90.00 90.00°
Space group Pmm2 (No. 25)
One atom of each set of equivalent atoms:
Cd (0.000, 0.000, 0.000) (multiplicity 1)
In (0.000, 0.000, 0.492) (multiplicity 1)
In (0.500, 0.500, 0.752) (multiplicity 1)
Hg (0.500, 0.500, 0.241) (multiplicity 1)

## Properties
Density of states at the Fermi level   1.53 states/eV/f.u.
Energy relative to the elements   0.0087 eV/atom
Total moment   0.000 μB per cell
ΔE to the lowest computed polymorph   1 meV per atom